[1]
The following is a DFT calculation (PBE) of a relaxed structure of Y2TlMo.

Lattice parameters (Å, degrees): 10.8033 10.8033 10.8033 155.87 155.87 34.39
With the nearest neighbours (Å) after each atom.
Atoms (fractional coordinates):
Y 0.1117 0.6250 0.9867  2 Mo 3.01, 2 Tl 3.06, 4 Y 3.11-3.28
Y 0.3750 0.3617 0.4867  2 Mo 3.01, 2 Tl 3.06, 4 Y 3.11-3.28
Y 0.6383 0.1250 0.0133  2 Mo 3.01, 2 Tl 3.06, 4 Y 3.11-3.28
Y 0.8750 0.8883 0.5133  2 Mo 3.01, 2 Tl 3.06, 4 Y 3.11-3.28
Tl 0.2500 0.7500 0.5000  4 Y 3.06, 4 Mo 3.19
Tl 0.5000 0.5000 0.0000  4 Y 3.06, 4 Mo 3.19
Mo 0.0000 0.0000 0.0000  4 Y 3.01, 4 Tl 3.19
Mo 0.7500 0.2500 0.5000  4 Y 3.01, 4 Tl 3.19

Values from the calculation:
E above lowest polymorph ... 0.701 eV/atom
Theoretical density ... 7.54 g/cm³
Formation energy ... 0.7664 eV/atom
Final energy ... -5.765 eV per atom



[2]
The following is a DFT calculation (PBE) of a relaxed structure of Y2TlMo.

Lattice parameters (Å, degrees): 5.0904 6.0313 6.0313 32.39 90.00 90.00
With the nearest neighbours (Å) after each atom.
Atoms (fractional coordinates):
Y 0.0000 0.0000 0.0000  3 Tl 3.13-3.16, 4 Mo 3.19, 2 Y 3.36
Y 0.5000 0.3125 0.3125  3 Mo 3.11-3.16, 4 Tl 3.21, 2 Y 3.36
Tl 0.0000 0.7273 0.7273  2 Mo 3.06, 7 Y 3.13-3.21, 2 Tl 3.36
Mo 0.5000 0.5813 0.5813  2 Tl 3.06, 7 Y 3.11-3.19, 2 Mo 3.36

Values from the calculation:
E above lowest polymorph ... 0.129 eV/atom
Theoretical density ... 8.00 g/cm³
Formation energy ... 0.1947 eV/atom
Final energy ... -6.337 eV per atom



[3]
The following is a DFT calculation (PBE) of a relaxed structure of YTlMo.

Lattice parameters (Å, degrees): 7.3659 7.2337 3.1590 79.86 75.17 24.97
With the nearest neighbours (Å) after each atom.
Atoms (fractional coordinates):
Y 0.0000 0.0000 0.0000  4 Mo 2.97-3.28, 4 Y 3.16, 2 Tl 3.31
Tl 0.6894 0.6894 0.3106  4 Mo 2.92-3.23, 4 Tl 3.16
Mo 0.3422 0.3422 0.6578  4 Tl 2.92-3.23, 2 Y 2.97, 4 Mo 3.16

Values from the calculation:
E above lowest polymorph ... 0.071 eV/atom
Theoretical density ... 9.50 g/cm³
Formation energy ... 0.4158 eV/atom
Final energy ... -6.138 eV per atom



[4]
The following is a DFT calculation (PBE) of a relaxed structure of YTlMo.

Lattice parameters (Å, degrees): 5.0080 5.0080 3.1621 90.00 90.00 120.00
With the nearest neighbours (Å) after each atom.
Atoms (fractional coordinates):
Y 0.0000 0.0000 0.0000  2 Y 3.16, 6 Tl 3.30, 6 Mo 3.30
Tl 0.3333 0.6667 0.5000  3 Mo 2.89, 2 Tl 3.16
Mo 0.6667 0.3333 0.5000  3 Tl 2.89, 2 Mo 3.16

Values from the calculation:
E above lowest polymorph ... 0.104 eV/atom
Theoretical density ... 9.41 g/cm³
Formation energy ... 0.4489 eV/atom
Final energy ... -6.105 eV per atom



[5]
The following is a DFT calculation (PBE) of a relaxed structure of Y2TlMo.

Lattice parameters (Å, degrees): 5.1502 5.1502 5.1502 60.00 60.00 60.00
With the nearest neighbours (Å) after each atom.
Atoms (fractional coordinates):
Y 0.2500 0.2500 0.2500  4 Tl 3.15, 4 Mo 3.15
Y 0.7500 0.7500 0.7500  4 Tl 3.15, 4 Mo 3.15
Tl 0.0000 0.0000 0.0000  8 Y 3.15
Mo 0.5000 0.5000 0.5000  8 Y 3.15

Values from the calculation:
E above lowest polymorph ... 0.086 eV/atom
Theoretical density ... 8.22 g/cm³
Formation energy ... 0.1514 eV/atom
Final energy ... -6.380 eV per atom



[6]
The following is a DFT calculation (PBE) of a relaxed structure of YTl2Mo.

Lattice parameters (Å, degrees): 3.3348 3.3348 8.1971 90.00 90.00 90.00
With the nearest neighbours (Å) after each atom.
Atoms (fractional coordinates):
Y 0.0000 0.0000 0.0000  8 Tl 3.27, 4 Y 3.33
Tl 0.5000 0.5000 0.2772  4 Mo 2.98, 4 Y 3.27, 4 Tl 3.33
Tl 0.5000 0.5000 0.7228  4 Mo 2.98, 4 Y 3.27, 4 Tl 3.33
Mo 0.0000 0.0000 0.5000  8 Tl 2.98, 4 Mo 3.33

Values from the calculation:
E above lowest polymorph ... 0.094 eV/atom
Theoretical density ... 10.81 g/cm³
Formation energy ... 0.3505 eV/atom
Final energy ... -5.156 eV per atom



Q: Among the records above, which one has the highest E above lowest polymorph?
A: number 1



Q: Which value of theoretical density does entry 3 give?
A: 9.50 g/cm³



Q: Which value of formation energy does entry 6 give?
A: 0.3505 eV/atom